5
Lattice="4.953 0.000 0.000 0.000 4.953 0.000 0.000 0.000 4.953" Properties=species:S:1:pos:R:3 comment="Sc3GaS GGA-PBEsol relaxed" dos_ef_per_ev_cell=5.698 formation_energy_uncorrected_kcal_per_mol_atoms=-0.26 pbc="T T T"
Sc 0.000 0.000 2.477
Sc 0.000 2.477 0.000
Sc 2.477 0.000 0.000
Ga 0.000 0.000 0.000
S 2.477 2.477 2.477

44
Lattice="8.640 0.000 0.000 0.000 5.462 0.000 0.000 0.000 10.946" Properties=species:S:1:pos:R:3 comment="ZrS2O8 GGA-PBEsol relaxed" dos_ef_per_ev_cell=0.000 formation_energy_uncorrected_kcal_per_mol_atoms=-44.55 pbc="T T T"
Zr 2.117 1.366 1.129
Zr 2.203 4.097 6.602
Zr 6.438 1.366 4.345
Zr 6.523 4.097 9.818
S 0.010 4.097 1.705
S 1.261 1.366 4.458
S 3.059 4.097 9.931
S 4.310 1.366 7.178
S 4.330 4.097 3.768
S 5.581 1.366 1.015
S 7.379 4.097 6.488
S 8.631 1.366 9.241
O 0.117 4.097 7.038
O 0.628 1.366 10.579
O 0.912 1.366 8.148
O 0.913 2.910 1.759
O 0.913 5.283 1.759
O 1.440 0.158 5.282
O 1.440 2.573 5.282
O 2.075 4.097 8.832
O 2.246 1.366 3.359
O 2.880 2.889 10.756
O 2.880 5.304 10.756
O 3.407 0.179 7.233
O 3.407 2.552 7.233
O 3.408 4.097 2.674
O 3.692 4.097 5.105
O 4.203 1.366 1.564
O 4.437 4.097 9.382
O 4.948 1.366 5.841
O 5.232 1.366 8.272
O 5.233 2.910 3.714
O 5.233 5.283 3.714
O 5.760 0.158 0.191
O 5.760 2.573 0.191
O 6.395 4.097 7.588
O 6.566 1.366 2.115
O 7.200 2.889 5.664
O 7.200 5.304 5.664
O 7.727 0.179 9.187
O 7.727 2.552 9.187
O 7.728 4.097 2.799
O 8.012 4.097 0.368
O 8.523 1.366 3.909

5
Lattice="6.935 0.000 0.000 0.000 6.935 0.000 0.000 0.000 5.102" Properties=species:S:1:pos:R:3 comment="KRb2BiOs GGA-PBEsol relaxed" dos_ef_per_ev_cell=5.099 e_form_ev_per_fu=4.155 pbc="T T T"
K 0.000 0.000 0.000
Rb 0.000 3.467 2.551
Rb 3.467 0.000 2.551
Bi 3.467 3.467 2.551
Os 3.467 3.467 0.000

4
Lattice="2.779 0.000 0.000 0.000 4.585 0.000 -1.008 0.000 5.417" Properties=species:S:1:pos:R:3 comment="TlAgMo2 GGA-PBEsol relaxed" dos_ef_per_ev_cell=2.337 e_above_lowest_polymorph_kj_per_mol_atoms=18.3 e_form_ev_per_fu=2.549 pbc="T T T"
Tl 0.000 0.000 0.000
Ag -0.504 0.000 2.708
Mo 0.644 2.293 3.920
Mo 1.128 2.293 1.496

4
Lattice="1.921 1.109 12.764 -1.921 1.109 12.764 0.000 -2.218 12.764" Properties=species:S:1:pos:R:3 comment="SrCa2La GGA-PBEsol relaxed" dos_ef_per_ev_cell=5.913 e_above_lowest_polymorph_kj_per_mol_atoms=0.0 e_form_ev_per_fu=0.289 pbc="T T T"
Sr 0.000 0.000 0.000
Ca 0.000 0.000 9.447
Ca 0.000 0.000 28.844
La 0.000 0.000 19.145

4
Lattice="1.531 0.884 5.649 -1.531 0.884 5.649 0.000 -1.768 5.649" Properties=species:S:1:pos:R:3 comment="MgCuO2 GGA-PBEsol relaxed" dos_ef_per_ev_cell=3.063 formation_energy_uncorrected_kcal_per_mol_atoms=-33.15 pbc="T T T"
Mg 0.000 0.000 0.000
Cu 0.000 0.000 8.473
O 0.000 0.000 6.728
O 0.000 0.000 10.218